(1)
Entry from Alexandria: a relaxed structure of ZrIr2Rh (PBE).

Summary:
SG: Fm-3m, No. 225
Calculated volume, A^3/atom: 16.4
Total moment, Bohr magnetons per cell: 0.99
Energy of formation, eV per atom: -0.19

Unit cell a=4.525 b=4.525 c=4.525 alpha=60.00 beta=60.00 gamma=60.00
Sites, in units of the cell vectors:
Ir1 0.750 0.750 0.750
Ir2 0.250 0.250 0.250
Zr1 0.000 0.000 0.000
Rh1 0.500 0.500 0.500

=====

(2)
Entry from Alexandria: a relaxed structure of Er2Mn2Ge2N (PBE).

Summary:
Energy relative to the elements, uncorrected, eV per atom: -0.68
SG: I4/mmm, No. 139
Calculated volume, A^3/atom: 16.9
Total moment, Bohr magnetons per cell: 6.15

Unit cell a=4.044 b=4.044 c=7.767 alpha=105.09 beta=105.09 gamma=90.00
Sites, in units of the cell vectors:
Ge1 0.625 0.625 0.251
Ge2 0.375 0.375 0.749
Er1 0.162 0.162 0.324
Er2 0.838 0.838 0.676
Mn1 0.500 0.000 0.000
Mn2 0.000 0.500 0.000
N1 0.000 0.000 0.000

=====

Across the entries above, E takes the values -8.597, -7.115 eV/atom, respectively.